VASP calculation (PBE) on a relaxed structure of Ba4NbH2. Values from VASP.

Structure (Quantum ESPRESSO input):
```
&SYSTEM
  ibrav = 0, nat = 7, ntyp = 3
/
ATOMIC_SPECIES
Ba 137.33 Ba.upf
Nb 92.91 Nb.upf
H 1.01 H.upf
CELL_PARAMETERS angstrom
-3.0055 3.0055 7.0694
3.0055 -3.0055 7.0694
3.0055 3.0055 -7.0694
ATOMIC_POSITIONS crystal
Ba 0.0000 0.5000 0.5000
Ba 0.2454 0.2454 0.0000
Ba 0.5000 0.0000 0.5000
Ba 0.7546 0.7546 0.0000
Nb 0.0000 0.0000 0.0000
H 0.4198 0.4198 0.0000
H 0.5802 0.5802 0.0000
```

Fermi-level density of states	5.87	states/eV per cell
SG	I4/mmm (139)
DFT total energy	-2.98	eV per atom
magnetic moment	2.9	Bohr magnetons per cell

VASP calculation (PBE) on a relaxed structure of K2CaSnBr. Values from VASP.

Structure (Quantum ESPRESSO input):
```
&SYSTEM
  ibrav = 0, nat = 5, ntyp = 4
/
ATOMIC_SPECIES
K 39.10 K.upf
Ca 40.08 Ca.upf
Sn 118.71 Sn.upf
Br 79.90 Br.upf
CELL_PARAMETERS angstrom
6.8604 0.0000 0.0000
0.0000 6.8604 0.0000
0.0000 0.0000 5.9036
ATOMIC_POSITIONS crystal
K 0.0000 0.5000 0.0000
K 0.5000 0.0000 0.0000
Ca 0.0000 0.0000 0.5000
Sn 0.5000 0.5000 0.0000
Br 0.5000 0.5000 0.5000
```

Fermi-level density of states	4.20	states/eV per cell
SG	P4/mmm (123)
magnetic moment	0.0	Bohr magnetons per cell
E_form (uncorrected)	1.4	kJ/mol of atoms

VASP calculation (PBE) on a relaxed structure of Be2TeIr. Values from VASP.

Structure (Quantum ESPRESSO input):
```
&SYSTEM
  ibrav = 0, nat = 4, ntyp = 3
/
ATOMIC_SPECIES
Be 9.01 Be.upf
Te 127.60 Te.upf
Ir 192.22 Ir.upf
CELL_PARAMETERS angstrom
-1.4425 1.8485 5.9964
1.4425 -1.8485 5.9964
1.4425 1.8485 -5.9964
ATOMIC_POSITIONS crystal
Be 0.0000 0.0000 0.0000
Be 0.6297 0.1297 0.5000
Te 0.3555 0.3555 0.0000
Ir 0.1484 0.6484 0.5000
```

Fermi-level density of states	1.50	states/eV per cell
SG	Imm2 (44)
magnetic moment	0.0	Bohr magnetons per cell
E_form (uncorrected)	5.2	kJ/mol of atoms

VASP calculation (PBE) on a relaxed structure of Ac2CeRe2N6. Values from VASP.

Structure (Quantum ESPRESSO input):
```
&SYSTEM
  ibrav = 0, nat = 11, ntyp = 4
/
ATOMIC_SPECIES
Ac 227.00 Ac.upf
Ce 140.12 Ce.upf
Re 186.21 Re.upf
N 14.01 N.upf
CELL_PARAMETERS angstrom
2.9600 1.7089 6.2020
-2.9600 1.7089 6.2020
0.0000 -3.4179 6.2020
ATOMIC_POSITIONS crystal
Ac 0.2127 0.2127 0.2127
Ac 0.7873 0.7873 0.7873
Ce 0.0000 0.0000 0.0000
Re 0.4018 0.4018 0.4018
Re 0.5982 0.5982 0.5982
N 0.2304 0.7429 0.7429
N 0.2571 0.2571 0.7696
N 0.2571 0.7696 0.2571
N 0.7429 0.2304 0.7429
N 0.7429 0.7429 0.2304
N 0.7696 0.2571 0.2571
```

Fermi-level density of states	6.04	states/eV per cell
SG	R-3m (166)
magnetic moment	0.0	Bohr magnetons per cell
E_form (uncorrected)	-75.2	kJ/mol of atoms

Please write out number 4 again, unchanged.
VASP calculation (PBE) on a relaxed structure of Ac2CeRe2N6. Values from VASP.

Structure (Quantum ESPRESSO input):
```
&SYSTEM
  ibrav = 0, nat = 11, ntyp = 4
/
ATOMIC_SPECIES
Ac 227.00 Ac.upf
Ce 140.12 Ce.upf
Re 186.21 Re.upf
N 14.01 N.upf
CELL_PARAMETERS angstrom
2.9600 1.7089 6.2020
-2.9600 1.7089 6.2020
0.0000 -3.4179 6.2020
ATOMIC_POSITIONS crystal
Ac 0.2127 0.2127 0.2127
Ac 0.7873 0.7873 0.7873
Ce 0.0000 0.0000 0.0000
Re 0.4018 0.4018 0.4018
Re 0.5982 0.5982 0.5982
N 0.2304 0.7429 0.7429
N 0.2571 0.2571 0.7696
N 0.2571 0.7696 0.2571
N 0.7429 0.2304 0.7429
N 0.7429 0.7429 0.2304
N 0.7696 0.2571 0.2571
```

Fermi-level density of states	6.04	states/eV per cell
SG	R-3m (166)
magnetic moment	0.0	Bohr magnetons per cell
E_form (uncorrected)	-75.2	kJ/mol of atoms

Q: What is the Fermi-level density of states in the first record?
A: 5.87 states/eV per cell